# 1
# GGA-PBE YMgTc, optimized geometry
data_YMgTc
_cell_length_a 12.240
_cell_length_b 4.318
_cell_length_c 5.416
_cell_angle_alpha 90.00
_cell_angle_beta 99.85
_cell_angle_gamma 90.00
_symmetry_space_group_name_H-M 'C 1 2/m 1'
_symmetry_Int_Tables_number 12
loop_
_symmetry_equiv_pos_as_xyz
'x,y,z'
'-x,-y,-z'
'-x,y,-z'
'x,-y,z'
'x+1/2,y+1/2,z'
'-x+1/2,-y+1/2,-z'
'-x+1/2,y+1/2,-z'
'x+1/2,-y+1/2,z'
loop_
_atom_site_label
_atom_site_fract_x
_atom_site_fract_y
_atom_site_fract_z
Y1 0.132 0.000 0.337
Mg1 0.077 0.500 0.779
Tc1 0.224 0.000 0.897
# M_tot = 0.000 Bohr magnetons per cell
# Offset from the most stable computed form = 0.000 eV/atom

***

# 2
# GGA-PBE YMg2Tc, optimized geometry
data_YMg2Tc
_cell_length_a 3.481
_cell_length_b 4.743
_cell_length_c 10.261
_cell_angle_alpha 90.00
_cell_angle_beta 90.00
_cell_angle_gamma 90.00
_symmetry_space_group_name_H-M 'I m m m'
_symmetry_Int_Tables_number 71
_symmetry_space_group_name_Hall '-I 2 2'
loop_
_atom_site_label
_atom_site_fract_x
_atom_site_fract_y
_atom_site_fract_z
Y1 0.000 0.000 0.000
Mg1 0.000 0.500 0.218
Tc1 0.000 0.000 0.500
# M_tot = 0.785 Bohr magnetons per cell
# Offset from the most stable computed form = 0.000 eV/atom

***

# 3
# GGA-PBE YMg2Tc, optimized geometry
data_YMg2Tc
_cell_length_a 3.0481
_cell_length_b 3.0481
_cell_length_c 31.2060
_cell_angle_alpha 90.00
_cell_angle_beta 90.00
_cell_angle_gamma 120.00
_symmetry_space_group_name_H-M 'R -3 m'
_symmetry_Int_Tables_number 166
_symmetry_space_group_name_Hall '-R 3 2"'
loop_
_atom_site_label
_atom_site_fract_x
_atom_site_fract_y
_atom_site_fract_z
Y1 0.0000 0.0000 0.0000
Mg1 0.0000 0.0000 0.2376
Tc1 0.0000 0.0000 0.5000
# M_tot = 1.311 Bohr magnetons per cell
# Offset from the most stable computed form = 0.264 eV/atom

***

# 4
# GGA-PBE YMg2Tc, optimized geometry
data_YMg2Tc
_cell_length_a 4.239
_cell_length_b 4.239
_cell_length_c 9.060
_cell_angle_alpha 90.00
_cell_angle_beta 90.00
_cell_angle_gamma 90.00
_symmetry_space_group_name_H-M 'I 4/m m m'
_symmetry_Int_Tables_number 139
_symmetry_space_group_name_Hall '-I 4 2'
loop_
_atom_site_label
_atom_site_fract_x
_atom_site_fract_y
_atom_site_fract_z
Y1 0.000 0.000 0.000
Mg1 0.000 0.500 0.250
Tc1 0.000 0.000 0.500
# M_tot = 0.000 Bohr magnetons per cell
# Offset from the most stable computed form = 0.015 eV/atom

***

# 5
# GGA-PBE Y4MgTc, optimized geometry
data_Y4MgTc
_cell_length_a 8.911
_cell_length_b 12.890
_cell_length_c 6.259
_cell_angle_alpha 90.00
_cell_angle_beta 107.82
_cell_angle_gamma 90.00
_symmetry_space_group_name_H-M 'C 1 2/c 1'
_symmetry_Int_Tables_number 15
loop_
_symmetry_equiv_pos_as_xyz
'x,y,z'
'-x,-y,-z'
'-x,y,-z+1/2'
'x,-y,z+1/2'
'x+1/2,y+1/2,z'
'-x+1/2,-y+1/2,-z'
'-x+1/2,y+1/2,-z+1/2'
'x+1/2,-y+1/2,z+1/2'
loop_
_atom_site_label
_atom_site_fract_x
_atom_site_fract_y
_atom_site_fract_z
Y1 0.104 0.169 0.050
Y2 0.224 0.416 0.382
Mg1 0.000 0.378 0.750
Tc1 0.000 0.001 0.250
# M_tot = 0.000 Bohr magnetons per cell
# Offset from the most stable computed form = 0.000 eV/atom

***

# 6
# GGA-PBE YMg2Tc, optimized geometry
data_YMg2Tc
_cell_length_a 3.645
_cell_length_b 4.986
_cell_length_c 9.552
_cell_angle_alpha 90.00
_cell_angle_beta 90.00
_cell_angle_gamma 90.00
_symmetry_space_group_name_H-M 'C m m 2'
_symmetry_Int_Tables_number 35
loop_
_symmetry_equiv_pos_as_xyz
'x,y,z'
'-x,-y,z'
'-x,y,z'
'x,-y,z'
'x+1/2,y+1/2,z'
'-x+1/2,-y+1/2,z'
'-x+1/2,y+1/2,z'
'x+1/2,-y+1/2,z'
loop_
_atom_site_label
_atom_site_fract_x
_atom_site_fract_y
_atom_site_fract_z
Y1 0.000 0.000 0.000
Mg1 0.000 0.000 0.430
Mg2 0.000 0.500 0.701
Tc1 0.000 0.500 0.219
# M_tot = 0.000 Bohr magnetons per cell
# Offset from the most stable computed form = 0.123 eV/atom

***

# 7
# GGA-PBE Y2MgTc, optimized geometry
data_Y2MgTc
_cell_length_a 3.4709
_cell_length_b 3.4709
_cell_length_c 29.0277
_cell_angle_alpha 90.00
_cell_angle_beta 90.00
_cell_angle_gamma 120.00
_symmetry_space_group_name_H-M 'R -3 m'
_symmetry_Int_Tables_number 166
_symmetry_space_group_name_Hall '-R 3 2"'
loop_
_atom_site_label
_atom_site_fract_x
_atom_site_fract_y
_atom_site_fract_z
Y1 0.0000 0.0000 0.2368
Mg1 0.0000 0.0000 0.0000
Tc1 0.0000 0.0000 0.5000
# M_tot = 0.000 Bohr magnetons per cell

***

# 8
# GGA-PBE Y2MgTc, optimized geometry
data_Y2MgTc
_cell_length_a 3.586
_cell_length_b 3.586
_cell_length_c 7.507
_cell_angle_alpha 90.00
_cell_angle_beta 90.00
_cell_angle_gamma 90.00
_symmetry_space_group_name_H-M 'P 4 m m'
_symmetry_Int_Tables_number 99
loop_
_symmetry_equiv_pos_as_xyz
'x,y,z'
'-y,x,z'
'-x,-y,z'
'y,-x,z'
'-x,y,z'
'y,x,z'
'x,-y,z'
'-y,-x,z'
loop_
_atom_site_label
_atom_site_fract_x
_atom_site_fract_y
_atom_site_fract_z
Y1 0.000 0.000 0.000
Y2 0.500 0.500 0.374
Mg1 0.000 0.000 0.615
Tc1 0.500 0.500 0.766
# M_tot = 0.000 Bohr magnetons per cell

***

# 9
# GGA-PBE YMgTc2, optimized geometry
data_YMgTc2
_cell_length_a 6.613
_cell_length_b 6.613
_cell_length_c 6.613
_cell_angle_alpha 90.00
_cell_angle_beta 90.00
_cell_angle_gamma 90.00
_symmetry_space_group_name_H-M 'F -4 3 m'
_symmetry_Int_Tables_number 216
_symmetry_space_group_name_Hall 'F -4 2 3'
loop_
_atom_site_label
_atom_site_fract_x
_atom_site_fract_y
_atom_site_fract_z
Y1 0.000 0.000 0.000
Mg1 0.250 0.250 0.250
Tc1 0.000 0.000 0.500
Tc2 0.250 0.250 0.750
# M_tot = 0.000 Bohr magnetons per cell

***

# 10
# GGA-PBE YMgTc2, optimized geometry
data_YMgTc2
_cell_length_a 3.362
_cell_length_b 4.668
_cell_length_c 9.135
_cell_angle_alpha 90.00
_cell_angle_beta 90.00
_cell_angle_gamma 90.00
_symmetry_space_group_name_H-M 'C m m m'
_symmetry_Int_Tables_number 65
_symmetry_space_group_name_Hall '-C 2 2'
loop_
_atom_site_label
_atom_site_fract_x
_atom_site_fract_y
_atom_site_fract_z
Y1 0.000 0.000 0.000
Mg1 0.000 0.000 0.500
Tc1 0.000 0.500 0.259
# M_tot = 0.000 Bohr magnetons per cell

***

# 11
# GGA-PBE YMgTc, optimized geometry
data_YMgTc
_cell_length_a 4.8356
_cell_length_b 4.8356
_cell_length_c 3.0622
_cell_angle_alpha 90.00
_cell_angle_beta 90.00
_cell_angle_gamma 120.00
_symmetry_space_group_name_H-M 'P 3 m 1'
_symmetry_Int_Tables_number 156
loop_
_symmetry_equiv_pos_as_xyz
'x,y,z'
'-y,x-y,z'
'-x+y,-x,z'
'-y,-x,z'
'-x+y,y,z'
'x,x-y,z'
loop_
_atom_site_label
_atom_site_fract_x
_atom_site_fract_y
_atom_site_fract_z
Y1 0.0000 0.0000 0.0000
Mg1 0.6667 0.3333 0.4717
Tc1 0.3333 0.6667 0.5312
# M_tot = 0.000 Bohr magnetons per cell
# Offset from the most stable computed form = 0.224 eV/atom

***

# 12
# GGA-PBE YMgTc, optimized geometry
data_YMgTc
_cell_length_a 3.3302
_cell_length_b 3.3302
_cell_length_c 6.9541
_cell_angle_alpha 90.00
_cell_angle_beta 90.00
_cell_angle_gamma 120.00
_symmetry_space_group_name_H-M 'P 3 m 1'
_symmetry_Int_Tables_number 156
loop_
_symmetry_equiv_pos_as_xyz
'x,y,z'
'-y,x-y,z'
'-x+y,-x,z'
'-y,-x,z'
'-x+y,y,z'
'x,x-y,z'
loop_
_atom_site_label
_atom_site_fract_x
_atom_site_fract_y
_atom_site_fract_z
Y1 0.0000 0.0000 0.0000
Mg1 0.6667 0.3333 0.4243
Tc1 0.3333 0.6667 0.7108
# M_tot = 0.000 Bohr magnetons per cell
# Offset from the most stable computed form = 0.338 eV/atom

***

# 13
# GGA-PBE Y2MgTc, optimized geometry
data_Y2MgTc
_cell_length_a 4.616
_cell_length_b 3.786
_cell_length_c 11.097
_cell_angle_alpha 90.00
_cell_angle_beta 90.00
_cell_angle_gamma 90.00
_symmetry_space_group_name_H-M 'A m m 2'
_symmetry_Int_Tables_number 38
loop_
_symmetry_equiv_pos_as_xyz
'x,y,z'
'-x,-y,z'
'-x,y,z'
'x,-y,z'
'x,y+1/2,z+1/2'
'-x,-y+1/2,z+1/2'
'-x,y+1/2,z+1/2'
'x,-y+1/2,z+1/2'
loop_
_atom_site_label
_atom_site_fract_x
_atom_site_fract_y
_atom_site_fract_z
Y1 0.000 0.000 0.000
Y2 0.500 0.000 0.295
Mg1 0.500 0.000 0.583
Tc1 0.000 0.000 0.717
# M_tot = 0.000 Bohr magnetons per cell

***

# 14
# GGA-PBE Y2MgTc, optimized geometry
data_Y2MgTc
_cell_length_a 11.767
_cell_length_b 3.533
_cell_length_c 5.097
_cell_angle_alpha 90.00
_cell_angle_beta 115.51
_cell_angle_gamma 90.00
_symmetry_space_group_name_H-M 'C 1 m 1'
_symmetry_Int_Tables_number 8
loop_
_symmetry_equiv_pos_as_xyz
'x,y,z'
'x,-y,z'
'x+1/2,y+1/2,z'
'x+1/2,-y+1/2,z'
loop_
_atom_site_label
_atom_site_fract_x
_atom_site_fract_y
_atom_site_fract_z
Y1 0.000 0.000 0.000
Y2 0.203 0.000 0.702
Mg1 0.291 0.500 0.289
Tc1 0.490 0.000 0.491
# M_tot = 0.000 Bohr magnetons per cell

***

# 15
# GGA-PBE Y2MgTc, optimized geometry
data_Y2MgTc
_cell_length_a 4.475
_cell_length_b 4.475
_cell_length_c 9.074
_cell_angle_alpha 90.00
_cell_angle_beta 90.00
_cell_angle_gamma 90.00
_symmetry_space_group_name_H-M 'I -4 m 2'
_symmetry_Int_Tables_number 119
_symmetry_space_group_name_Hall 'I -4 -2'
loop_
_atom_site_label
_atom_site_fract_x
_atom_site_fract_y
_atom_site_fract_z
Y1 0.000 0.000 0.000
Y2 0.000 0.500 0.250
Mg1 0.000 0.500 0.750
Tc1 0.000 0.000 0.500
# M_tot = 0.009 Bohr magnetons per cell

***

# 16
# GGA-PBE YMgTc, optimized geometry
data_YMgTc
_cell_length_a 6.789
_cell_length_b 6.789
_cell_length_c 6.789
_cell_angle_alpha 90.00
_cell_angle_beta 90.00
_cell_angle_gamma 90.00
_symmetry_space_group_name_H-M 'F -4 3 m'
_symmetry_Int_Tables_number 216
_symmetry_space_group_name_Hall 'F -4 2 3'
loop_
_atom_site_label
_atom_site_fract_x
_atom_site_fract_y
_atom_site_fract_z
Y1 0.000 0.000 0.000
Mg1 0.250 0.250 0.250
Tc1 0.250 0.250 0.750
# M_tot = 7.268 Bohr magnetons per cell
# Offset from the most stable computed form = 1.115 eV/atom

***

# 17
# GGA-PBE Y6Mg2Tc, optimized geometry
data_Y6Mg2Tc
_cell_length_a 3.844
_cell_length_b 15.233
_cell_length_c 8.806
_cell_angle_alpha 90.00
_cell_angle_beta 90.00
_cell_angle_gamma 90.00
_symmetry_space_group_name_H-M 'A m m 2'
_symmetry_Int_Tables_number 38
loop_
_symmetry_equiv_pos_as_xyz
'x,y,z'
'-x,-y,z'
'-x,y,z'
'x,-y,z'
'x,y+1/2,z+1/2'
'-x,-y+1/2,z+1/2'
'-x,y+1/2,z+1/2'
'x,-y+1/2,z+1/2'
loop_
_atom_site_label
_atom_site_fract_x
_atom_site_fract_y
_atom_site_fract_z
Y1 0.000 0.000 0.000
Y2 0.000 0.120 0.638
Y3 0.500 0.000 0.375
Y4 0.500 0.191 0.951
Mg1 0.000 0.167 0.259
Tc1 0.500 0.000 0.760
# M_tot = 0.007 Bohr magnetons per cell

***

# 18
# GGA-PBE YMg2Tc, optimized geometry
data_YMg2Tc
_cell_length_a 10.168
_cell_length_b 3.424
_cell_length_c 5.261
_cell_angle_alpha 90.00
_cell_angle_beta 111.46
_cell_angle_gamma 90.00
_symmetry_space_group_name_H-M 'C 1 m 1'
_symmetry_Int_Tables_number 8
loop_
_symmetry_equiv_pos_as_xyz
'x,y,z'
'x,-y,z'
'x+1/2,y+1/2,z'
'x+1/2,-y+1/2,z'
loop_
_atom_site_label
_atom_site_fract_x
_atom_site_fract_y
_atom_site_fract_z
Y1 0.000 0.000 0.000
Mg1 0.209 0.000 0.647
Mg2 0.444 0.000 0.451
Tc1 0.237 0.500 0.132
# M_tot = 0.377 Bohr magnetons per cell
# Offset from the most stable computed form = 0.109 eV/atom

***

# 19
# GGA-PBE YMg3Tc, optimized geometry
data_YMg3Tc
_cell_length_a 4.983
_cell_length_b 4.983
_cell_length_c 4.983
_cell_angle_alpha 90.00
_cell_angle_beta 90.00
_cell_angle_gamma 90.00
_symmetry_space_group_name_H-M 'P m -3 m'
_symmetry_Int_Tables_number 221
_symmetry_space_group_name_Hall '-P 4 2 3'
loop_
_atom_site_label
_atom_site_fract_x
_atom_site_fract_y
_atom_site_fract_z
Y1 0.000 0.000 0.000
Mg1 0.000 0.500 0.500
Tc1 0.500 0.500 0.500
# M_tot = 0.000 Bohr magnetons per cell
# Offset from the most stable computed form = 0.000 eV/atom

***

# 20
# GGA-PBE YMgTc2, optimized geometry
data_YMgTc2
_cell_length_a 3.144
_cell_length_b 3.144
_cell_length_c 7.839
_cell_angle_alpha 90.00
_cell_angle_beta 90.00
_cell_angle_gamma 90.00
_symmetry_space_group_name_H-M 'P 4 m m'
_symmetry_Int_Tables_number 99
loop_
_symmetry_equiv_pos_as_xyz
'x,y,z'
'-y,x,z'
'-x,-y,z'
'y,-x,z'
'-x,y,z'
'y,x,z'
'x,-y,z'
'-y,-x,z'
loop_
_atom_site_label
_atom_site_fract_x
_atom_site_fract_y
_atom_site_fract_z
Y1 0.000 0.000 0.000
Mg1 0.500 0.500 0.333
Tc1 0.000 0.000 0.563
Tc2 0.500 0.500 0.733
# M_tot = 0.000 Bohr magnetons per cell

***

Calculated V, 282; 169; 251; 163; 684; 174; 303; 97; 289; 143; 62; 67; 194; 191; 182; 313; 516; 170; 124; 77 Å³/cell (same order as the records).
Calculated total DFT energy (no corrections), -73.47; -39.34; -55.85; -39.22; -153.10; -38.36; -72.73; -24.28; -111.60; -54.33; -17.70; -17.35; -48.73; -48.98; -48.24; -60.08; -105.05; -38.47; -19.44; -28.74 eV/cell (same order as the records).
Calculated ΔH_f (0 K), 0.019; 0.087; 0.351; 0.102; -0.076; 0.210; 0.162; 0.153; 0.223; 0.406; 0.243; 0.357; 0.131; 0.100; 0.192; 1.135; -0.021; 0.196; 0.435; 0.013 eV per atom (same order as the records).